K2FeRe | PBE-GGA | optimized geometry

Properties
- Offset from the most stable computed form: 526.9 meV/atom
- Symmetry: R-3m (166)
- Calculated volume: 83.0 Å³/f.u.
- Total magnetic moment: 2.37 μB/cell

Unit cell a=11.9363 b=11.9363 c=11.9363 alpha=13.70 beta=13.70 gamma=13.70
Atoms (fractional coordinates):
1 K 0.2491 0.2491 0.2491
2 K 0.7509 0.7509 0.7509
3 Fe 0.0000 0.0000 0.0000
4 Re 0.5000 0.5000 0.5000

KFe2Re | PBE-GGA | optimized geometry

Properties
- Offset from the most stable computed form: 0.0 meV/atom
- Symmetry: Pmmm (47)
- Calculated volume: 77.4 Å³/f.u.
- Total magnetic moment: 4.23 μB/cell

Unit cell a=2.7389 b=3.7251 c=7.5897 alpha=90.00 beta=90.00 gamma=90.00
Atoms (fractional coordinates):
1 K 0.0000 0.0000 0.0000
2 Fe 0.5000 0.5000 0.3498
3 Fe 0.5000 0.5000 0.6502
4 Re 0.0000 0.0000 0.5000

KFe2Re | PBE-GGA | optimized geometry

Properties
- Offset from the most stable computed form: 520.4 meV/atom
- Symmetry: P4/mmm (123)
- Calculated volume: 65.6 Å³/f.u.
- Total magnetic moment: 5.22 μB/cell

Unit cell a=5.0285 b=5.0285 c=2.5945 alpha=90.00 beta=90.00 gamma=90.00
Atoms (fractional coordinates):
1 K 0.0000 0.0000 0.0000
2 Fe 0.0000 0.5000 0.5000
3 Fe 0.5000 0.0000 0.5000
4 Re 0.5000 0.5000 0.0000

KFe2Re | PBE-GGA | optimized geometry

Properties
- Offset from the most stable computed form: 91.2 meV/atom
- Symmetry: Pm (6)
- Calculated volume: 76.3 Å³/f.u.
- Total magnetic moment: 3.93 μB/cell

Unit cell a=2.6588 b=3.6409 c=7.9742 alpha=90.00 beta=98.61 gamma=90.00
Atoms (fractional coordinates):
1 K 0.0000 0.0000 0.0000
2 Fe 0.2661 0.0000 0.5061
3 Fe 0.8315 0.5000 0.6608
4 Re 0.7027 0.5000 0.3622

K2FeRe | PBE-GGA | optimized geometry

Properties
- Offset from the most stable computed form: 8.6 meV/atom
- Symmetry: Immm (71)
- Calculated volume: 114.3 Å³/f.u.
- Total magnetic moment: 0.00 μB/cell

Unit cell a=10.4634 b=10.4634 c=10.4634 alpha=163.14 beta=159.87 gamma=26.37
Atoms (fractional coordinates):
1 K 0.1448 0.1448 0.0000
2 K 0.8552 0.8552 0.0000
3 Fe 0.0000 0.5000 0.5000
4 Re 0.5000 0.0000 0.5000

K2FeRe | PBE-GGA | optimized geometry

Properties
- Offset from the most stable computed form: 718.1 meV/atom
- Symmetry: I4/mmm (139)
- Calculated volume: 82.3 Å³/f.u.
- Total magnetic moment: 1.03 μB/cell

Unit cell a=6.3604 b=6.3604 c=6.3604 alpha=145.46 beta=145.46 gamma=49.64
Atoms (fractional coordinates):
1 K 0.2500 0.7500 0.5000
2 K 0.7500 0.2500 0.5000
3 Fe 0.0000 0.0000 0.0000
4 Re 0.5000 0.5000 0.0000

KFe2Re | PBE-GGA | optimized geometry

Properties
- Offset from the most stable computed form: 953.9 meV/atom
- Symmetry: F-43m (216)
- Calculated volume: 61.9 Å³/f.u.
- Total magnetic moment: 3.78 μB/cell

Unit cell a=4.4395 b=4.4395 c=4.4395 alpha=60.00 beta=60.00 gamma=60.00
Atoms (fractional coordinates):
1 K 0.0000 0.0000 0.0000
2 Fe 0.5000 0.5000 0.5000
3 Fe 0.7500 0.7500 0.7500
4 Re 0.2500 0.2500 0.2500

K2FeRe | PBE-GGA | optimized geometry

Properties
- Offset from the most stable computed form: 624.5 meV/atom
- Symmetry: Cmmm (65)
- Calculated volume: 84.4 Å³/f.u.
- Total magnetic moment: 1.99 μB/cell

Unit cell a=6.3890 b=6.3890 c=2.6761 alpha=90.00 beta=90.00 gamma=129.37
Atoms (fractional coordinates):
1 K 0.0000 0.5000 0.0000
2 K 0.5000 0.0000 0.0000
3 Fe 0.0000 0.0000 0.5000
4 Re 0.5000 0.5000 0.5000

K2FeRe | PBE-GGA | optimized geometry

Properties
- Offset from the most stable computed form: 313.0 meV/atom
- Symmetry: Pm (6)
- Calculated volume: 123.1 Å³/f.u.
- Total magnetic moment: 1.50 μB/cell

Unit cell a=5.8741 b=3.4266 c=6.7831 alpha=90.00 beta=115.64 gamma=90.00
Atoms (fractional coordinates):
1 K 0.0000 0.0000 0.0000
2 K 0.2828 0.5000 0.5617
3 Fe 0.5751 0.5000 0.1503
4 Re 0.6876 0.0000 0.3718

KFe2Re | PBE-GGA | optimized geometry

Properties
- Offset from the most stable computed form: 1024.7 meV/atom
- Symmetry: I-4m2 (119)
- Calculated volume: 67.2 Å³/f.u.
- Total magnetic moment: 5.51 μB/cell

Unit cell a=5.3787 b=5.3787 c=5.3787 alpha=138.66 beta=138.66 gamma=59.90
Atoms (fractional coordinates):
1 K 0.0000 0.0000 0.0000
2 Fe 0.5000 0.5000 0.0000
3 Fe 0.7500 0.2500 0.5000
4 Re 0.2500 0.7500 0.5000

K2FeRe | PBE-GGA | optimized geometry

Properties
- Offset from the most stable computed form: 718.0 meV/atom
- Symmetry: P4/mmm (123)
- Calculated volume: 82.3 Å³/f.u.
- Total magnetic moment: 1.03 μB/cell

Unit cell a=3.7751 b=3.7751 c=5.7760 alpha=90.00 beta=90.00 gamma=90.00
Atoms (fractional coordinates):
1 K 0.0000 0.5000 0.0000
2 K 0.5000 0.0000 0.0000
3 Fe 0.0000 0.0000 0.5000
4 Re 0.5000 0.5000 0.5000

K2FeRe | PBE-GGA | optimized geometry

Properties
- Offset from the most stable computed form: 0.0 meV/atom
- Symmetry: P4mm (99)
- Calculated volume: 110.9 Å³/f.u.
- Total magnetic moment: 1.37 μB/cell

Unit cell a=3.2606 b=3.2606 c=10.4297 alpha=90.00 beta=90.00 gamma=90.00
Atoms (fractional coordinates):
1 K 0.0000 0.0000 0.0000
2 K 0.5000 0.5000 0.4183
3 Fe 0.5000 0.5000 0.7474
4 Re 0.0000 0.0000 0.6790

Number 1: E_form 1.425 eV per atom. Number 2: E_form 0.711 eV per atom. Number 3: E_form 1.231 eV per atom. Number 4: E_form 0.802 eV per atom. Number 5: E_form 0.907 eV per atom. Number 6: E_form 1.617 eV per atom. Number 7: E_form 1.664 eV per atom. Number 8: E_form 1.523 eV per atom. Number 9: E_form 1.211 eV per atom. Number 10: E_form 1.735 eV per atom. Number 11: E_form 1.616 eV per atom. Number 12: E_form 0.898 eV per atom.